No. 1
Below is crystalline LiCu at its relaxed geometry, with properties calculated at the PBE-GGA level.

Structure (POSCAR):
```
LiCu
1.0
2.262 -1.298 0.000
2.262 1.298 0.000
-1.524 0.000 4.371
Li Cu
1 1
direct
0.000 0.000 0.000
0.500 0.500 0.500
```

Results
- Formation energy: -15 meV per atom
- Space-group type: C2/m (12)

No. 2
Below is crystalline AsP2 at its relaxed geometry, with properties calculated at the PBE-GGA level.

Structure (POSCAR):
```
AsP2
1.0
1.599 -4.755 0.000
1.599 4.755 0.000
0.000 0.000 4.269
As P
1 2
direct
0.000 0.000 0.000
0.173 0.827 0.574
0.827 0.173 0.574
```

Results
- Formation energy: 172 meV per atom
- Energy above the most stable polymorph in this dataset: 62 meV/atom
- Space-group type: Cmm2 (35)

No. 3
Below is crystalline Cs2K5Bi2 at its relaxed geometry, with properties calculated at the PBE-GGA level.

Structure (POSCAR):
```
Cs2K5Bi2
1.0
10.095 -3.074 0.000
10.095 3.074 0.000
-4.901 0.000 8.745
Cs K Bi
2 5 2
direct
0.153 0.153 0.422
0.847 0.847 0.578
0.144 0.144 0.853
0.333 0.333 0.905
0.500 0.500 0.500
0.667 0.667 0.095
0.856 0.856 0.147
0.297 0.297 0.264
0.703 0.703 0.736
```

Results
- Formation energy: -278 meV per atom
- Space-group type: C2/m (12)

No. 4
Below is crystalline LiFeRuRh at its relaxed geometry, with properties calculated at the PBE-GGA level.

Structure (POSCAR):
```
LiFeRuRh
1.0
0.000 2.927 2.927
2.927 0.000 2.927
2.927 2.927 0.000
Li Fe Ru Rh
1 1 1 1
direct
0.000 0.000 0.000
0.500 0.500 0.500
0.750 0.750 0.750
0.250 0.250 0.250
```

Results
- Formation energy: 57 meV per atom
- Space-group type: F-43m (216)

These records have magnetization values of 0.00; 0.00; 0.06; 0.62 μB per atom, in the order they appear.